No. 1
{"formula": "Zn2In2Pb", "functional": "PBEsol", "state": "relaxed", "ef_ev_per_atom": 0.097, "cell": [[3.548, 0.000, 0.000], [0.000, 7.879, 0.000], [0.000, 0.000, 7.879]], "species": ["Pb", "In", "Zn", "Zn", "Zn", "In", "In", "In", "Zn", "Pb"], "frac_coords": [[0.000, 0.500, 0.500], [0.500, 0.179, 0.679], [0.000, 0.383, 0.883], [0.000, 0.617, 0.117], [0.000, 0.117, 0.383], [0.500, 0.321, 0.179], [0.500, 0.821, 0.321], [0.500, 0.679, 0.821], [0.000, 0.883, 0.617], [0.000, 0.000, 0.000]]}



No. 2
{"formula": "ZnIn2Pb", "functional": "PBEsol", "state": "relaxed", "ef_ev_per_atom": 0.092, "cell": [[3.390, 0.000, 0.000], [0.000, 5.307, 0.000], [-1.695, -2.654, 5.325]], "species": ["Zn", "Pb", "In", "In"], "frac_coords": [[0.000, 0.500, 0.000], [0.500, 0.000, 0.000], [0.281, 0.281, 0.561], [0.719, 0.719, 0.439]]}



No. 3
{"formula": "ZnIn2Pb", "functional": "PBEsol", "state": "relaxed", "ef_ev_per_atom": 0.078, "cell": [[-2.236, -0.456, -2.534], [0.993, -1.487, -2.903], [-2.742, -9.221, 1.782]], "species": ["Pb", "In", "Zn", "In"], "frac_coords": [[0.500, 0.500, 0.500], [0.738, 0.738, 0.785], [0.000, 0.000, 0.000], [0.262, 0.262, 0.215]]}



No. 4
{"formula": "ZrInPb2", "functional": "PBEsol", "state": "relaxed", "ef_ev_per_atom": 0.004, "cell": [[3.333, 0.000, 0.000], [0.000, 5.379, 0.000], [0.000, 0.000, 5.563]], "species": ["Zr", "Pb", "In", "Pb"], "frac_coords": [[0.500, 0.500, 0.000], [0.500, 0.000, 0.500], [0.000, 0.500, 0.500], [0.000, 0.000, 0.000]]}